Compound: KDyCd
Source: the Alexandria database
Functional: PBE-GGA
Structure: optimized geometry

Computed properties:
The total energy comes out at -0.0744 hartree per atom.

Cell lengths 17.975, 3.707, 6.395 Å; angles 90.00, 90.00, 90.00 degrees
Sites, in units of the cell vectors:
K: 0.166 0.000 0.000
K: 0.166 0.500 0.500
K: 0.834 0.000 0.000
K: 0.834 0.500 0.500
Dy: 0.366 0.000 0.342
Dy: 0.366 0.500 0.842
Dy: 0.634 0.000 0.342
Dy: 0.634 0.500 0.842
Cd: 0.000 0.000 0.335
Cd: 0.000 0.500 0.835
Cd: 0.500 0.000 0.008
Cd: 0.500 0.500 0.508

***

Compound: TmMnZnC
Source: the Alexandria database
Functional: PBE-GGA
Structure: optimized geometry

Computed properties:
The total energy comes out at -0.2267 hartree per atom.

Cell lengths 3.387, 3.387, 10.248 Å; angles 90.00, 90.00, 90.00 degrees
Sites, in units of the cell vectors:
Tm: 0.250 0.250 0.232
Tm: 0.750 0.750 0.768
Mn: 0.250 0.750 0.000
Mn: 0.750 0.250 0.000
Zn: 0.250 0.750 0.500
Zn: 0.750 0.250 0.500
C: 0.250 0.250 0.884
C: 0.750 0.750 0.116

***

Compound: TbDyHo4
Source: the Alexandria database
Functional: PBE-GGA
Structure: optimized geometry

Computed properties:
The total energy comes out at -0.1587 hartree per atom.

Cell lengths 6.521, 6.521, 6.521 Å; angles 60.00, 60.00, 60.00 degrees
Sites, in units of the cell vectors:
Tb: 0.000 0.000 0.000
Dy: 0.750 0.750 0.750
Ho: 0.375 0.375 0.375
Ho: 0.375 0.375 0.875
Ho: 0.375 0.875 0.375
Ho: 0.875 0.375 0.375

***

Compound: TbPmCu
Source: the Alexandria database
Functional: PBE-GGA
Structure: optimized geometry

Computed properties:
The total energy comes out at -0.1617 hartree per atom.

Cell lengths 6.950, 6.950, 6.950 Å; angles 90.00, 90.00, 90.00 degrees
Sites, in units of the cell vectors:
Tb: 0.000 0.000 0.000
Tb: 0.000 0.500 0.500
Tb: 0.500 0.000 0.500
Tb: 0.500 0.500 0.000
Pm: 0.000 0.000 0.500
Pm: 0.000 0.500 0.000
Pm: 0.500 0.000 0.000
Pm: 0.500 0.500 0.500
Cu: 0.250 0.250 0.750
Cu: 0.250 0.750 0.250
Cu: 0.750 0.250 0.250
Cu: 0.750 0.750 0.750